# ScRe2Os (GGA-PBEsol, relaxed)
# Polymorph energy (0 for the lowest one), eV/atom: 0.2214
# ΔH_f (0 K), eV per atom: 0.19
data_ScRe2Os
_chemical_formula_sum 'Sc1 Re2 Os1'
_space_group_name_H-M_alt 'P 1'
_space_group_IT_number 1
_cell_length_a 2.803
_cell_length_b 4.951
_cell_length_c 4.951
_cell_angle_alpha 116.84
_cell_angle_beta 90.00
_cell_angle_gamma 90.00
loop_
_space_group_symop_operation_xyz
'x,y,z'
loop_
_atom_site_label
_atom_site_type_symbol
_atom_site_fract_x
_atom_site_fract_y
_atom_site_fract_z
Os1 Os 0.500 0.500 0.500
Re1 Re 0.000 0.500 0.000
Re2 Re 0.000 0.000 0.500
Sc1 Sc 0.500 0.000 0.000